The following is a DFT calculation (PBE) of a geometry-optimized ZrCd2Os structure.

Cell: 4.7358 4.7358 4.7358 Å, 60.00 60.00 60.00°
Sites, in units of the cell vectors:
Zr1 0.0000 0.0000 0.0000
Cd1 0.2500 0.2500 0.2500
Cd2 0.5000 0.5000 0.5000
Os1 0.7500 0.7500 0.7500

## Properties
Formation energy   139 meV per atom
Calculated total energy   -21.008 eV for the cell shown
Space group   F-43m

=====

The following is a DFT calculation (PBE) of a geometry-optimized ErZnB4 structure.

Cell: 3.1727 3.1727 7.0734 Å, 90.00 90.00 120.00°
Sites, in units of the cell vectors:
Er1 0.0000 0.0000 0.0000
Zn1 0.0000 0.0000 0.5000
B1 0.3333 0.6667 0.2668
B2 0.3333 0.6667 0.7332
B3 0.6667 0.3333 0.2668
B4 0.6667 0.3333 0.7332

## Properties
Calculated total energy   -33.094 eV for the cell shown
Space group   P6/mmm

=====

The following is a DFT calculation (PBE) of a geometry-optimized Tb2ErAl7Cu2 structure.

Cell: 9.0418 9.0418 9.0418 Å, 35.34 35.34 35.34°
Sites, in units of the cell vectors:
Tb1 0.1419 0.1419 0.1419
Tb2 0.8581 0.8581 0.8581
Er1 0.0000 0.0000 0.0000
Al1 0.0722 0.5817 0.5817
Al2 0.4183 0.4183 0.9278
Al3 0.4183 0.9278 0.4183
Al4 0.5000 0.5000 0.5000
Al5 0.5817 0.0722 0.5817
Al6 0.5817 0.5817 0.0722
Al7 0.9278 0.4183 0.4183
Cu1 0.3354 0.3354 0.3354
Cu2 0.6646 0.6646 0.6646

## Properties
Calculated total energy   -53.234 eV for the cell shown
Space group   R-3m

=====

The following is a DFT calculation (PBE) of a geometry-optimized ZrRe2Si2 structure.

Cell: 5.5697 5.5697 5.5697 Å, 134.72 134.72 65.96°
Sites, in units of the cell vectors:
Zr1 0.0000 0.0000 0.0000
Re1 0.3773 0.3773 0.0000
Re2 0.6227 0.6227 0.0000
Si1 0.2500 0.7500 0.5000
Si2 0.7500 0.2500 0.5000

## Properties
Calculated total energy   -44.601 eV for the cell shown
Space group   I4/mmm

=====

The following is a DFT calculation (PBE) of a geometry-optimized MgZnGa structure.

Cell: 4.4730 4.4730 4.4730 Å, 60.00 60.00 60.00°
Sites, in units of the cell vectors:
Mg1 0.0000 0.0000 0.0000
Zn1 0.2500 0.2500 0.2500
Ga1 0.7500 0.7500 0.7500

## Properties
Calculated total energy   -5.329 eV for the cell shown
Space group   F-43m

=====

The following is a DFT calculation (PBE) of a geometry-optimized RbAsPt structure.

Cell: 5.0229 5.0229 5.0229 Å, 60.00 60.00 60.00°
Sites, in units of the cell vectors:
Rb1 0.0000 0.0000 0.0000
As1 0.7500 0.7500 0.7500
Pt1 0.2500 0.2500 0.2500

## Properties
Calculated total energy   -7.852 eV for the cell shown
Space group   F-43m

=====

The following is a DFT calculation (PBE) of a geometry-optimized CdTcO3 structure.

Cell: 3.8798 3.8798 3.9643 Å, 90.00 90.00 90.00°
Sites, in units of the cell vectors:
Cd1 0.0000 0.0000 0.0000
Tc1 0.5000 0.5000 0.5029
O1 0.0000 0.5000 0.5034
O2 0.5000 0.0000 0.5034
O3 0.5000 0.5000 0.0031

## Properties
Calculated total energy   -31.087 eV for the cell shown
Space group   P4mm

=====

The following is a DFT calculation (PBE) of a geometry-optimized Li3Ag4Sn structure.

Cell: 5.4926 5.4926 5.4926 Å, 90.00 90.00 90.00°
Sites, in units of the cell vectors:
Li1 0.0000 0.0000 0.5000
Li2 0.0000 0.5000 0.0000
Li3 0.5000 0.0000 0.0000
Ag1 0.0000 0.0000 0.0000
Ag2 0.0000 0.5000 0.5000
Ag3 0.5000 0.0000 0.5000
Ag4 0.5000 0.5000 0.0000
Sn1 0.5000 0.5000 0.5000

## Properties
Calculated total energy   -20.645 eV for the cell shown
Space group   Pm-3m

=====

The following is a DFT calculation (PBE) of a geometry-optimized La2HoZn2Si4Au2 structure.

Cell: 12.8842 12.8842 12.8842 Å, 161.28 160.78 26.95°
Sites, in units of the cell vectors:
La1 0.1473 0.1473 0.0000
La2 0.8527 0.8527 0.0000
Ho1 0.5000 0.0000 0.5000
Zn1 0.2498 0.7498 0.5000
Zn2 0.7502 0.2502 0.5000
Si1 0.0464 0.5464 0.5000
Si2 0.3070 0.3070 0.0000
Si3 0.6930 0.6930 0.0000
Si4 0.9536 0.4536 0.5000
Au1 0.4070 0.4070 0.0000
Au2 0.5930 0.5930 0.0000

## Properties
Calculated total energy   -52.749 eV for the cell shown
Space group   Immm

=====

The following is a DFT calculation (PBE) of a geometry-optimized Al5W structure.

Cell: 5.0940 5.0940 16.6302 Å, 90.00 90.00 120.00°
Sites, in units of the cell vectors:
Al1 0.0000 0.5000 0.0000
Al2 0.0000 0.5000 0.5000
Al3 0.1617 0.3235 0.2500
Al4 0.1617 0.8383 0.2500
Al5 0.3235 0.1617 0.7500
Al6 0.3333 0.6667 0.1248
Al7 0.3333 0.6667 0.3752
Al8 0.3333 0.6667 0.6523
Al9 0.3333 0.6667 0.8477
Al10 0.5000 0.0000 0.0000
Al11 0.5000 0.0000 0.5000
Al12 0.5000 0.5000 0.0000
Al13 0.5000 0.5000 0.5000
Al14 0.6667 0.3333 0.1523
Al15 0.6667 0.3333 0.3477
Al16 0.6667 0.3333 0.6248
Al17 0.6667 0.3333 0.8752
Al18 0.6765 0.8383 0.2500
Al19 0.8383 0.1617 0.7500
Al20 0.8383 0.6765 0.7500
W1 0.0000 0.0000 0.1050
W2 0.0000 0.0000 0.3950
W3 0.0000 0.0000 0.6050
W4 0.0000 0.0000 0.8950

## Properties
Calculated total energy   -122.666 eV for the cell shown
Space group   P6_3/mmc

=====

The following is a DFT calculation (PBE) of a geometry-optimized RbLuNO structure.

Cell: 4.4860 4.4860 8.1072 Å, 90.00 90.00 90.00°
Sites, in units of the cell vectors:
Rb1 0.2500 0.7500 0.0000
Rb2 0.7500 0.2500 0.0000
Lu1 0.2500 0.2500 0.4417
Lu2 0.7500 0.7500 0.5583
N1 0.2500 0.2500 0.1865
N2 0.7500 0.7500 0.8135
O1 0.2500 0.7500 0.5000
O2 0.7500 0.2500 0.5000

## Properties
Calculated total energy   -46.569 eV for the cell shown
Space group   P4/nmm

=====

The following is a DFT calculation (PBE) of a geometry-optimized Hf4CoNiN2 structure.

Cell: 3.1846 3.1846 12.9783 Å, 90.00 90.00 120.00°
Sites, in units of the cell vectors:
Hf1 0.0000 0.0000 0.1460
Hf2 0.0000 0.0000 0.8540
Hf3 0.3333 0.6667 0.3522
Hf4 0.3333 0.6667 0.6478
Co1 0.3333 0.6667 0.0000
Ni1 0.0000 0.0000 0.5000
N1 0.6667 0.3333 0.2499
N2 0.6667 0.3333 0.7501

## Properties
Calculated total energy   -76.470 eV for the cell shown
Space group   P-6m2